10
Lattice="3.165 -5.224 0.000 3.165 5.224 0.000 0.000 0.000 3.981" Properties=species:S:1:pos:R:3 comment="V7MoC2 (PBE-GGA, relaxed)" e_form_kcal_per_mol_atoms=2.05 energy_ev_per_cell=-92.222 total_magnetization_mub_per_atom=0.00 pbc="T T T"
V 0.000 0.000 0.000
V 1.945 1.386 0.000
V 3.165 2.983 1.991
V 1.945 -1.386 0.000
V 4.386 1.386 0.000
V 3.165 -2.983 1.991
V 4.386 -1.386 0.000
Mo 3.165 0.000 1.991
C 3.165 3.101 0.000
C 3.165 -3.101 0.000

***

5
Lattice="-1.877 1.877 6.131 1.877 -1.877 6.131 1.877 1.877 -6.131" Properties=species:S:1:pos:R:3 comment="RbH2Ir2 (PBE-GGA, relaxed)" energy_ev_per_cell=-23.751 total_magnetization_mub_per_atom=0.00 polymorph_energy_mev_per_atom=0 pbc="T T T"
Rb 0.000 0.000 0.000
H 1.877 0.000 3.065
H 0.000 1.877 3.065
Ir 0.000 0.000 3.278
Ir 0.000 0.000 8.984

***

Repeat the second record exactly.
5
Lattice="-1.877 1.877 6.131 1.877 -1.877 6.131 1.877 1.877 -6.131" Properties=species:S:1:pos:R:3 comment="RbH2Ir2 (PBE-GGA, relaxed)" energy_ev_per_cell=-23.751 total_magnetization_mub_per_atom=0.00 polymorph_energy_mev_per_atom=0 pbc="T T T"
Rb 0.000 0.000 0.000
H 1.877 0.000 3.065
H 0.000 1.877 3.065
Ir 0.000 0.000 3.278
Ir 0.000 0.000 8.984

***

Number 1 is which compound?
V7MoC2